Record 1
VASP calculation (PBE) on crystalline BaP3Os at its relaxed geometry.

Cell lengths 4.778, 4.778, 4.778 Å; angles 90.00, 90.00, 90.00 degrees
Fractional positions:
Ba1 0.000 0.000 0.000
P1 0.000 0.500 0.500
P2 0.500 0.000 0.500
P3 0.500 0.500 0.000
Os1 0.500 0.500 0.500

Properties
- ΔH_f (0 K): 0.02 eV per atom
- Energy above the lowest structure with this stoichiometry: 0 meV per atom
- Space-group type: Pm-3m



Record 2
VASP calculation (PBE) on crystalline Zn3Cu2As4O16 at its relaxed geometry.

Cell lengths 5.461, 7.169, 9.355 Å; angles 81.26, 80.10, 69.66 degrees
Fractional positions:
Zn1 0.000 0.000 0.000
Zn2 0.229 0.321 0.310
Zn3 0.537 0.954 0.515
Cu1 0.138 0.638 0.654
Cu2 0.607 0.647 0.141
As1 0.126 0.867 0.331
As2 0.140 0.430 0.974
As3 0.622 0.863 0.833
As4 0.676 0.418 0.458
O1 0.307 0.635 0.266
O2 0.312 0.504 0.811
O3 0.335 0.994 0.348
O4 0.358 0.329 0.099
O5 0.390 0.975 0.717
O6 0.414 0.812 0.993
O7 0.465 0.628 0.542
O8 0.515 0.254 0.447
O9 0.790 0.016 0.848
O10 0.809 0.499 0.282
O11 0.819 0.641 0.754
O12 0.905 0.000 0.216
O13 0.912 0.664 0.028
O14 0.947 0.811 0.498
O15 0.968 0.283 0.954
O16 0.979 0.318 0.512

Properties
- ΔE_f (raw): -1.050 eV/atom
- Space-group type: P1



Record 3
VASP calculation (PBE) on crystalline CeSm2Sb at its relaxed geometry.

Cell lengths 4.907, 4.907, 4.680 Å; angles 90.00, 90.00, 90.00 degrees
Fractional positions:
Ce1 0.000 0.000 0.000
Sm1 0.000 0.500 0.500
Sm2 0.500 0.000 0.500
Sb1 0.500 0.500 0.000

Properties
- Energy above the lowest structure with this stoichiometry: 0 meV per atom
- ΔE_f (raw): -0.512 eV/atom
- Space-group type: P4/mmm



Record 4
VASP calculation (PBE) on crystalline Ho2Al4CdPt3 at its relaxed geometry.

Cell lengths 4.197, 4.197, 10.863 Å; angles 90.00, 90.00, 90.00 degrees
Fractional positions:
Ho1 0.000 0.500 0.236
Ho2 0.500 0.000 0.764
Al1 0.000 0.000 0.000
Al2 0.000 0.500 0.644
Al3 0.500 0.000 0.356
Al4 0.500 0.500 0.000
Cd1 0.000 0.000 0.500
Pt1 0.000 0.500 0.868
Pt2 0.500 0.000 0.132
Pt3 0.500 0.500 0.500

Properties
- ΔH_f (0 K): -0.91 eV per atom
- Space-group type: P-4m2



Record 5
VASP calculation (PBE) on crystalline Th3S at its relaxed geometry.

Cell lengths 4.742, 4.742, 4.742 Å; angles 90.00, 90.00, 90.00 degrees
Fractional positions:
Th1 0.000 0.000 0.500
Th2 0.000 0.500 0.000
Th3 0.500 0.000 0.000
S1 0.500 0.500 0.500

Properties
- Energy above the lowest structure with this stoichiometry: 0 meV per atom
- ΔE_f (raw): -0.182 eV/atom
- Space-group type: Pm-3m



Record 6
VASP calculation (PBE) on crystalline Mg5GaSn6 at its relaxed geometry.

Cell lengths 7.592, 7.592, 8.609 Å; angles 90.00, 90.00, 144.61 degrees
Fractional positions:
Mg1 0.000 0.000 0.000
Mg2 0.333 0.667 0.000
Mg3 0.338 0.662 0.500
Mg4 0.662 0.338 0.500
Mg5 0.667 0.333 0.000
Ga1 0.000 0.000 0.500
Sn1 0.166 0.834 0.249
Sn2 0.166 0.834 0.751
Sn3 0.500 0.500 0.245
Sn4 0.500 0.500 0.755
Sn5 0.834 0.166 0.249
Sn6 0.834 0.166 0.751

Properties
- ΔH_f (0 K): -0.09 eV per atom
- Space-group type: Cmmm



Record 7
VASP calculation (PBE) on crystalline Fe2WSe at its relaxed geometry.

Cell lengths 7.969, 7.969, 7.969 Å; angles 21.55, 21.55, 21.55 degrees
Fractional positions:
Fe1 0.000 0.000 0.000
Fe2 0.258 0.258 0.258
W1 0.754 0.754 0.754
Se1 0.503 0.503 0.503

Properties
- ΔE_f (raw): 0.379 eV/atom
- Space-group type: R3m



Record 8
VASP calculation (PBE) on crystalline RbZnInAu3 at its relaxed geometry.

Cell lengths 7.879, 7.879, 7.006 Å; angles 90.00, 90.00, 126.15 degrees
Fractional positions:
Rb1 0.229 0.771 0.750
Rb2 0.771 0.229 0.250
Zn1 0.091 0.909 0.250
Zn2 0.909 0.091 0.750
In1 0.464 0.536 0.250
In2 0.536 0.464 0.750
Au1 0.203 0.203 0.000
Au2 0.203 0.203 0.500
Au3 0.270 0.730 0.250
Au4 0.730 0.270 0.750
Au5 0.797 0.797 0.000
Au6 0.797 0.797 0.500

Properties
- ΔH_f (0 K): -0.20 eV per atom
- Space-group type: Cmcm